First-principles (PBE) data for an optimized crystal structure of TeMoSCl2, as listed in Alexandria.

It has space group P4/mmm (No. 123), with a = 5.2412 Å, b = 5.2412 Å, c = 5.2971 Å, α = 90.00°, β = 90.00° and γ = 90.00°. Symmetry generates all atoms from Te at (0.0000, 0.0000, 0.0000), Mo at (0.5000, 0.5000, 0.5000), S at (0.0000, 0.0000, 0.5000) and Cl at (0.0000, 0.5000, 0.0000).

For the energy above the lowest structure with this stoichiometry, the calculation gives 691.8 meV per atom. Its magnetic moment is 0.983 μB per atom. The formation energy without anion corrections is 794 meV per atom. As for the density of states at the Fermi level: 1.59 states/eV per cell.